1.
Al2ZnSiCl: relaxed, GGA-PBE.

Unit cell a=4.9815 b=4.7938 c=4.9815 alpha=90.00 beta=90.00 gamma=90.00
Fractional positions:
Zn (0.5000, 0.5000, 0.5000)
Al (0.0000, 0.0000, 0.5000)
Al (0.5000, 0.0000, 0.0000)
Si (0.0000, 0.0000, 0.0000)
Cl (0.0000, 0.5000, 0.0000)

Output
The value obtained for the total magnetic moment is 0.0 μB/cell. Its calculated volume is 119 Å³ per cell. The value obtained for the total energy is -14.0 eV/cell. Its symmetry is P4/mmm (123). The value obtained for the uncorrected formation energy is 39.2 kJ per mole of atoms. The value obtained for the calculated density is 2.55 g/cm3. The density of states at the Fermi level is 0.666 states/eV/atom.

2.
TbPr2Dy9: relaxed, GGA-PBE.

Unit cell a=5.0517 b=5.0517 c=15.1457 alpha=90.00 beta=90.00 gamma=90.00
Fractional positions:
Tb (0.0000, 0.0000, 0.0000)
Pr (0.0000, 0.0000, 0.3327)
Pr (0.0000, 0.0000, 0.6673)
Dy (0.5000, 0.5000, 0.0000)
Dy (0.5000, 0.5000, 0.3320)
Dy (0.5000, 0.5000, 0.6680)
Dy (0.5000, 0.0000, 0.1644)
Dy (0.5000, 0.0000, 0.5000)
Dy (0.5000, 0.0000, 0.8356)
Dy (0.0000, 0.5000, 0.1644)
Dy (0.0000, 0.5000, 0.5000)
Dy (0.0000, 0.5000, 0.8356)

Output
The value obtained for the total magnetic moment is 0.0 μB/cell. Its calculated volume is 387 Å³ per cell. The value obtained for the total energy is -55.3 eV/cell. Its symmetry is P4/mmm (123). As for the energy of formation from the pure elements: 0.26 eV/f.u. The value obtained for the calculated density is 8.18 g/cm3. The density of states at the Fermi level is 1.469 states/eV/atom.

3.
Pu2PaBi5: relaxed, GGA-PBE.

Unit cell a=6.0268 b=6.7227 c=11.6693 alpha=90.00 beta=90.00 gamma=90.00
Fractional positions:
Pu (0.5000, 0.4999, 0.2465)
Pu (0.5000, 0.5001, 0.7535)
Pu (0.5000, 0.0001, 0.7464)
Pu (0.5000, 0.9999, 0.2536)
Pa (0.0000, 0.5000, 0.5000)
Pa (0.0000, 0.0000, 0.0000)
Bi (0.0000, 0.0000, 0.5000)
Bi (0.0000, 0.5000, 0.0000)
Bi (0.0000, 0.7500, 0.2500)
Bi (0.0000, 0.2500, 0.7500)
Bi (0.0000, 0.7500, 0.7500)
Bi (0.0000, 0.2500, 0.2500)
Bi (0.5000, 0.7372, 0.5000)
Bi (0.5000, 0.2628, 0.5000)
Bi (0.5000, 0.7628, 0.0000)
Bi (0.5000, 0.2372, 0.0000)

Output
The value obtained for the total magnetic moment is 24.2 μB/cell. Its calculated volume is 473 Å³ per cell. The value obtained for the total energy is -118.5 eV/cell. Its symmetry is Cmmm (65). As for the energy of formation from the pure elements: -1.68 eV/f.u. The value obtained for the calculated density is 12.39 g/cm3. The density of states at the Fermi level is 3.004 states/eV/atom.

4.
PPdAuS2: relaxed, GGA-PBE.

Unit cell a=4.8266 b=4.8266 c=4.4893 alpha=90.00 beta=90.00 gamma=90.00
Fractional positions:
P (0.0000, 0.0000, 0.5000)
S (0.0000, 0.5000, 0.0000)
S (0.5000, 0.0000, 0.0000)
Au (0.5000, 0.5000, 0.5000)
Pd (0.0000, 0.0000, 0.0000)

Output
The value obtained for the total magnetic moment is 0.8 μB/cell. Its calculated volume is 105 Å³ per cell. The value obtained for the total energy is -18.0 eV/cell. Its symmetry is P4/mmm (123). The value obtained for the uncorrected formation energy is 80.2 kJ per mole of atoms. The value obtained for the calculated density is 6.33 g/cm3. The density of states at the Fermi level is 1.148 states/eV/atom.

5.
SiAg2Te4Au: relaxed, GGA-PBE.

Unit cell a=6.2349 b=6.2351 c=7.7415 alpha=113.73 beta=113.74 gamma=90.01
Fractional positions:
Si (0.5003, 0.5003, 0.0006)
Ag (0.7501, 0.2502, 0.5003)
Ag (0.2501, 0.7501, 0.5003)
Te (0.6193, 0.6193, 0.7645)
Te (0.3803, 0.8554, 0.2356)
Te (0.8554, 0.3802, 0.2356)
Te (0.1452, 0.1452, 0.7644)
Au (0.9997, 0.9996, 0.9993)

Output
The value obtained for the total magnetic moment is 0.0 μB/cell. Its calculated volume is 247 Å³ per cell. The value obtained for the total energy is -27.4 eV/cell. Its symmetry is Fmm2 (42). The value obtained for the uncorrected formation energy is -5.4 kJ per mole of atoms. The value obtained for the calculated density is 6.38 g/cm3. The density of states at the Fermi level is 0.708 states/eV/atom.

6.
ZnCu2Mo: relaxed, GGA-PBE.

Unit cell a=4.6177 b=4.6177 c=4.8557 alpha=80.29 beta=80.29 gamma=32.54
Fractional positions:
Cu (0.0010, 0.0010, 0.0054)
Cu (0.7451, 0.7451, 0.7521)
Mo (0.4990, 0.4990, 0.5114)
Zn (0.2549, 0.2549, 0.2310)

Output
The value obtained for the total magnetic moment is 0.5 μB/cell. Its calculated volume is 55 Å³ per cell. The value obtained for the total energy is -19.4 eV/cell. Its symmetry is Cm (8). As for the energy of formation from the pure elements: 0.92 eV/f.u. The value obtained for the calculated density is 8.74 g/cm3. The density of states at the Fermi level is 0.863 states/eV/atom.

7.
Tb7BeBr12: relaxed, GGA-PBE.

Unit cell a=9.1331 b=9.1331 c=9.1331 alpha=107.70 beta=107.70 gamma=107.70
Fractional positions:
Tb (0.9657, 0.6822, 0.8915)
Tb (0.3178, 0.1085, 0.0343)
Tb (0.1085, 0.0343, 0.3178)
Tb (0.5000, 0.5000, 0.5000)
Tb (0.8915, 0.9657, 0.6822)
Tb (0.6822, 0.8915, 0.9657)
Tb (0.0343, 0.3178, 0.1085)
Be (0.0000, 0.0000, 0.0000)
Br (0.9232, 0.3136, 0.7740)
Br (0.6864, 0.2260, 0.0768)
Br (0.4730, 0.1594, 0.3914)
Br (0.8406, 0.6086, 0.5270)
Br (0.2260, 0.0768, 0.6864)
Br (0.6086, 0.5270, 0.8406)
Br (0.3914, 0.4730, 0.1594)
Br (0.7740, 0.9232, 0.3136)
Br (0.1594, 0.3914, 0.4730)
Br (0.5270, 0.8406, 0.6086)
Br (0.3136, 0.7740, 0.9232)
Br (0.0768, 0.6864, 0.2260)

Output
The value obtained for the total magnetic moment is 0.0 μB/cell. Its calculated volume is 622 Å³ per cell. The value obtained for the total energy is -86.5 eV/cell. Its symmetry is R-3 (148). The value obtained for the uncorrected formation energy is -146.1 kJ per mole of atoms. The value obtained for the calculated density is 5.55 g/cm3. The density of states at the Fermi level is 0.536 states/eV/atom.

8.
CePaTl2O8: relaxed, GGA-PBE.

Unit cell a=6.2552 b=6.2552 c=6.2552 alpha=112.03 beta=112.03 gamma=104.47
Fractional positions:
Ce (0.2500, 0.7500, 0.5000)
Pa (0.0000, 0.0000, 0.0000)
Tl (0.7500, 0.2500, 0.5000)
Tl (0.5000, 0.5000, 0.0000)
O (0.3401, 0.0320, 0.3081)
O (0.2745, 0.4571, 0.1826)
O (0.2745, 0.0919, 0.8174)
O (0.7239, 0.0320, 0.6919)
O (0.9081, 0.7255, 0.1826)
O (0.9680, 0.2761, 0.3081)
O (0.9680, 0.6599, 0.6919)
O (0.5429, 0.7255, 0.8174)

Output
The value obtained for the total magnetic moment is 0.0 μB/cell. Its calculated volume is 187 Å³ per cell. The value obtained for the total energy is -83.6 eV/cell. Its symmetry is I-4m2 (119). The value obtained for the uncorrected formation energy is -191.4 kJ per mole of atoms. The value obtained for the calculated density is 8.05 g/cm3. The density of states at the Fermi level is 0.395 states/eV/atom.

9.
B5PdPt8: relaxed, GGA-PBE.

Unit cell a=3.3978 b=6.5100 c=8.8610 alpha=106.70 beta=101.05 gamma=90.00
Fractional positions:
B (0.3034, 0.7178, 0.6068)
B (0.6966, 0.2822, 0.3932)
B (0.3714, 0.3086, 0.7428)
B (0.6286, 0.6914, 0.2572)
B (0.0000, 0.0000, 0.0000)
Pd (0.5000, 0.5000, 0.0000)
Pt (0.2436, 0.1651, 0.4873)
Pt (0.7564, 0.8349, 0.5127)
Pt (0.1691, 0.4996, 0.3382)
Pt (0.8309, 0.5004, 0.6618)
Pt (0.0914, 0.8301, 0.1828)
Pt (0.9086, 0.1699, 0.8172)
Pt (0.4282, 0.8336, 0.8565)
Pt (0.5718, 0.1664, 0.1435)

Output
The value obtained for the total magnetic moment is 0.0 μB/cell. Its calculated volume is 184 Å³ per cell. The value obtained for the total energy is -89.6 eV/cell. Its symmetry is C2/m (12). As for the energy of formation from the pure elements: -2.69 eV/f.u. The value obtained for the calculated density is 15.54 g/cm3. The density of states at the Fermi level is 0.238 states/eV/atom.

10.
AcTl2Hg: relaxed, GGA-PBE.

Unit cell a=5.5686 b=5.5686 c=5.5686 alpha=60.00 beta=60.00 gamma=60.00
Fractional positions:
Ac (0.0000, 0.0000, 0.0000)
Tl (0.2500, 0.2500, 0.2500)
Tl (0.7500, 0.7500, 0.7500)
Hg (0.5000, 0.5000, 0.5000)

Output
The value obtained for the total magnetic moment is 0.0 μB/cell. Its calculated volume is 122 Å³ per cell. The value obtained for the total energy is -10.1 eV/cell. Its symmetry is Fm-3m (225). As for the energy of formation from the pure elements: -0.92 eV/f.u. The value obtained for the calculated density is 11.37 g/cm3. The density of states at the Fermi level is 0.600 states/eV/atom.

- Number 2 is which compound?
  TbPr2Dy9